No. 1
Material: Li4Ho3TmS8
Method: DFT, GGA-PBE
State: optimized geometry

```
Li4Ho3TmS8
1.0
-3.668 6.208 -2.902
-5.053 -0.316 5.711
7.623 0.325 1.469
Li Ho Tm S
4 3 1 8
Cartesian
-1.834 3.104 -1.451
1.978 3.267 -0.716
0.000 0.000 0.000
3.812 0.162 0.734
-4.361 2.946 1.405
-0.549 3.109 2.139
1.285 0.004 3.590
-2.527 -0.158 2.856
-4.693 1.308 3.556
-0.903 1.470 4.287
1.629 1.635 1.438
-6.538 4.431 2.097
5.440 1.786 2.182
-2.727 4.583 2.841
-0.195 4.747 -0.008
3.595 4.909 0.722
```

Calculated values
**Energy relative to the elements, uncorrected**: -1.857 eV/atom
**SG**: R-3m, No. 166

No. 2
Material: LiHoTm4S8
Method: DFT, GGA-PBE
State: optimized geometry

```
LiHoTm4S8
1.0
7.904 0.000 0.000
3.952 6.845 0.000
3.952 2.282 6.479
Li Ho Tm S
1 1 4 8
Cartesian
7.904 4.564 5.671
3.952 2.282 6.389
7.904 4.564 0.803
3.952 4.477 3.270
5.853 1.184 3.270
2.051 1.184 3.270
7.904 6.958 4.804
9.978 3.366 4.804
5.831 3.366 4.804
3.952 2.282 1.752
7.904 2.137 1.688
5.803 5.777 1.688
10.006 5.777 1.688
11.857 6.845 4.692
```

Calculated values
**Energy relative to the elements, uncorrected**: -1.976 eV/atom
**SG**: R3m, No. 160

No. 3
Material: Li4Ho3US8
Method: DFT, GGA-PBE
State: optimized geometry

```
Li4Ho3US8
1.0
-4.203 -6.479 1.049
6.428 -3.983 1.157
-1.540 6.369 4.217
Li Ho U S
4 3 1 8
Cartesian
-2.102 -3.239 0.525
-2.871 -0.055 2.633
0.000 0.000 0.000
-0.770 3.185 2.108
1.112 -5.231 1.103
0.343 -2.046 3.212
2.444 1.193 2.687
3.214 -1.991 0.579
3.776 -4.618 1.138
3.003 -1.421 3.254
-0.213 0.569 2.658
1.682 -7.845 1.660
-0.997 3.753 4.763
0.899 -4.661 3.765
-2.318 -2.671 3.169
-3.091 0.526 5.285
```

Calculated values
**Energy relative to the elements, uncorrected**: -1.711 eV/atom
**SG**: R-3m, No. 166

No. 4
Material: Li2HoUS4
Method: DFT, GGA-PBE
State: optimized geometry

```
Li2HoUS4
1.0
3.877 0.000 0.000
0.000 6.741 0.114
0.000 -2.350 6.175
Li Ho U S
2 1 1 4
Cartesian
1.938 -1.175 3.087
0.000 2.195 3.145
0.000 0.000 0.000
1.938 3.370 0.057
1.938 1.093 1.589
1.938 3.297 4.700
0.000 -0.091 4.628
0.000 4.481 1.661
```

Calculated values
**Energy relative to the elements, uncorrected**: -1.584 eV/atom
**SG**: P2/m, No. 10